First-principles (PBE) data for a geometry-optimized Ho2MnC2 structure, as listed in Alexandria. Values from VASP.

Output
* uncorrected energy: -76.811 eV per cell

```
&SYSTEM
  ibrav = 0, nat = 10, ntyp = 3
/
ATOMIC_SPECIES
Ho 164.93 Ho.upf
Mn 54.94 Mn.upf
C 12.01 C.upf
CELL_PARAMETERS angstrom
-2.704 4.233 -0.062
-2.354 -4.436 3.277
5.102 3.296 2.536
ATOMIC_POSITIONS crystal
Ho 0.962 0.923 0.217
Ho 0.038 0.077 0.783
Mn 0.630 0.261 0.132
C 0.188 0.376 0.617
C 0.487 0.973 0.208
C 0.812 0.624 0.383
Ho 0.319 0.638 0.382
C 0.513 0.027 0.792
Ho 0.681 0.362 0.618
Mn 0.370 0.739 0.868
```